! InSb2PbI | Alexandria via LeMat-Bulk | PBE-GGA | optimized geometry; values from VASP
! Energy above the lowest structure with this stoichiometry, kJ/mol of atoms: 0.0
&SYSTEM
  ibrav = 0, nat = 5, ntyp = 4
/
ATOMIC_SPECIES
In 114.82 In.upf
Sb 121.76 Sb.upf
Pb 207.20 Pb.upf
I 126.90 I.upf
ATOMIC_POSITIONS crystal
In 0.000 0.000 0.000
Sb 0.000 0.500 0.000
Sb 0.500 0.000 0.000
Pb 0.500 0.500 0.500
I 0.000 0.000 0.500
CELL_PARAMETERS angstrom
5.644 0.000 0.000
0.000 5.644 0.000
0.000 0.000 5.878

! InSb2PbI | Alexandria via LeMat-Bulk | PBE-GGA | optimized geometry; values from VASP
! Energy above the lowest structure with this stoichiometry, kJ/mol of atoms: 4.0
&SYSTEM
  ibrav = 0, nat = 5, ntyp = 4
/
ATOMIC_SPECIES
In 114.82 In.upf
Sb 121.76 Sb.upf
Pb 207.20 Pb.upf
I 126.90 I.upf
ATOMIC_POSITIONS crystal
In 0.000 0.000 0.000
Sb 0.000 0.500 0.500
Sb 0.500 0.000 0.500
Pb 0.500 0.500 0.500
I 0.500 0.500 0.000
CELL_PARAMETERS angstrom
5.873 0.000 0.000
0.000 5.873 0.000
0.000 0.000 6.391

A plane-wave DFT calculation with PBE-GGA was carried out for a relaxed ScInPbI6 crystal. Values from VASP.

Geometry as Quantum ESPRESSO input:
```
&SYSTEM
  ibrav = 0, nat = 9, ntyp = 4
/
ATOMIC_SPECIES
Sc 44.96 Sc.upf
In 114.82 In.upf
Pb 207.20 Pb.upf
I 126.90 I.upf
ATOMIC_POSITIONS crystal
Sc 0.000 0.000 0.000
In 0.667 0.333 0.500
Pb 0.333 0.667 0.000
I 0.012 0.302 0.769
I 0.012 0.710 0.231
I 0.290 0.988 0.769
I 0.291 0.303 0.231
I 0.697 0.709 0.769
I 0.698 0.988 0.231
CELL_PARAMETERS angstrom
3.972 -6.889 0.000
3.972 6.889 0.000
-0.007 0.000 7.443
```

What are the formation energy from raw total energies values for these records? In order: 0.4585 0.4997 -0.8543 eV/atom.
What are the M_tot values for these records? In order: 0.0 1.3 0.0 μB per formula unit.
What are the uncorrected energy values for these records? In order: -13.95 -13.74 -29.77 eV/cell.